The following is a DFT calculation (PBE with a Hubbard U) of an optimized crystal structure of HfWF2.

Calculated values
Space-group type = No. 166
Raw total energy = -6.200 eV/atom

abc: 2.8583 2.8583 24.2023
angles: 90.00 90.00 120.00
Fractional positions:
Hf 0.0000 0.0000 0.0000
Hf 0.3333 0.6667 0.6667
Hf 0.6667 0.3333 0.3333
W 0.0000 0.0000 0.5000
W 0.3333 0.6667 0.1667
W 0.6667 0.3333 0.8333
F 0.0000 0.0000 0.4000
F 0.0000 0.0000 0.6000
F 0.3333 0.6667 0.0667
F 0.3333 0.6667 0.2666
F 0.6667 0.3333 0.7334
F 0.6667 0.3333 0.9333